First-principles (PBE-GGA) data for Fe4Sb after structural relaxation, as listed in Alexandria via LeMat-Bulk.

```
Fe4Sb
1.0
-0.265 -5.597 2.634
-3.008 -2.052 5.007
-0.366 3.241 -5.263
Sb Fe
1 4
Cartesian
0.000 0.000 0.000
-1.134 -3.090 0.596
-1.277 -2.984 2.981
-1.996 -4.665 4.660
-2.505 -1.318 1.782
```

## Properties
**Volume**: 14.5 Å³/atom
**Crystal system**: tetragonal
**Formation energy (no corrections)**: 0.416 eV per atom
**Energy relative to the lowest polymorph listed for this composition**: 296 meV per atom

=====

First-principles (PBE-GGA) data for Bi4Ir after structural relaxation, as listed in Alexandria via LeMat-Bulk.

```
Bi4Ir
1.0
-3.314 5.361 2.017
-4.993 -3.846 2.018
6.963 -1.270 3.961
Bi Ir
8 2
Cartesian
4.073 -1.099 3.999
1.193 -2.952 4.193
-4.325 -1.314 3.255
-2.961 2.643 2.953
-5.599 1.297 5.079
-0.920 -0.107 2.760
0.525 0.261 5.783
2.639 2.253 3.959
-0.252 2.425 3.997
0.000 0.000 0.000
```

## Properties
**Volume**: 29.0 Å³/atom
**Crystal system**: tetragonal
**Calculated formation energy**: 0.037 eV per atom
**Energy relative to the lowest polymorph listed for this composition**: 48 meV per atom

=====

First-principles (PBE-GGA) data for CeThS2 after structural relaxation, as listed in Alexandria via LeMat-Bulk.

```
CeThS2
1.0
-0.904 -2.576 -2.854
-0.035 -1.147 3.779
-13.291 3.592 0.966
Th S Ce
2 4 2
Cartesian
-10.293 1.070 2.292
-3.937 -1.202 -0.402
-8.883 0.135 -0.042
-5.346 -0.266 1.933
-1.948 -1.185 1.686
-12.281 1.053 0.205
-6.645 1.796 0.483
0.000 0.000 0.000
```

## Properties
**Volume**: 23.3 Å³/atom
**Crystal system**: hexagonal
**Formation energy (no corrections)**: -1.902 eV per atom
**Energy relative to the lowest polymorph listed for this composition**: 53 meV per atom

=====

First-principles (PBE-GGA) data for Co2IrCl after structural relaxation, as listed in Alexandria via LeMat-Bulk.

```
Co2IrCl
1.0
4.558 0.059 0.000
-1.463 4.317 0.000
0.000 0.000 2.771
Co Cl Ir
2 1 1
Cartesian
0.000 0.000 0.000
1.547 2.188 0.000
-0.731 2.158 1.385
2.279 0.029 1.385
```

## Properties
**Volume**: 13.7 Å³/atom
**Crystal system**: orthorhombic
**Formation energy (no corrections)**: 0.659 eV per atom
**Energy relative to the lowest polymorph listed for this composition**: 397 meV per atom

=====

First-principles (PBE-GGA) data for LaCdIr2 after structural relaxation, as listed in Alexandria via LeMat-Bulk.

```
LaCdIr2
1.0
3.920 0.000 0.000
0.000 4.475 0.000
0.000 0.000 4.475
Ir Cd La
2 1 1
Cartesian
0.000 0.000 0.000
0.000 2.238 2.238
1.960 0.000 2.238
1.960 2.238 0.000
```

## Properties
**Volume**: 19.6 Å³/atom
**Crystal system**: tetragonal
**Calculated formation energy**: -0.227 eV per atom

=====

First-principles (PBE-GGA) data for CaCd2Ag6 after structural relaxation, as listed in Alexandria via LeMat-Bulk.

```
CaCd2Ag6
1.0
3.114 0.000 0.000
1.557 8.205 1.415
1.557 3.007 7.765
Ag Cd Ca
6 2 1
Cartesian
3.114 6.492 3.508
3.114 9.243 4.129
3.114 5.340 0.933
3.114 5.872 8.246
3.114 1.969 5.050
3.114 4.720 5.672
4.672 7.296 5.973
1.557 3.916 3.206
0.000 0.000 0.000
```

## Properties
**Volume**: 20.6 Å³/atom
**Crystal system**: orthorhombic
**Calculated formation energy**: -0.032 eV per atom
**Energy relative to the lowest polymorph listed for this composition**: 0 meV per atom

=====

First-principles (PBE-GGA) data for BaCa2PrAg4 after structural relaxation, as listed in Alexandria via LeMat-Bulk.

```
BaCa2PrAg4
1.0
5.379 0.000 0.000
2.689 4.658 0.000
2.689 1.553 9.073
Ca Pr Ag Ba
2 1 4 1
Cartesian
8.068 4.658 6.704
2.689 1.553 2.369
5.379 3.105 4.536
8.068 4.658 3.519
5.379 3.105 7.661
2.689 1.553 5.553
5.379 3.105 1.412
0.000 0.000 0.000
```

## Properties
**Volume**: 28.4 Å³/atom
**Crystal system**: trigonal
**Calculated formation energy**: -0.272 eV per atom

=====

First-principles (PBE-GGA) data for Ba2TaRu after structural relaxation, as listed in Alexandria via LeMat-Bulk.

```
Ba2TaRu
1.0
-0.660 -9.088 8.030
10.792 -4.109 -3.764
6.143 -5.249 3.749
Ba Ru Ta
4 2 2
Cartesian
8.085 -6.581 0.972
2.586 -5.941 4.103
10.265 -9.593 3.764
11.615 -14.777 7.193
11.001 -7.978 1.059
5.066 -6.599 2.133
0.000 0.000 0.000
5.275 -10.468 6.957
```

## Properties
**Volume**: 43.6 Å³/atom
**Crystal system**: tetragonal
**Calculated formation energy**: 0.813 eV per atom
**Energy relative to the lowest polymorph listed for this composition**: 551 meV per atom

=====

First-principles (PBE-GGA) data for Ca2Tl2Cd after structural relaxation, as listed in Alexandria via LeMat-Bulk.

```
Ca2Tl2Cd
1.0
-4.263 0.641 2.517
-0.156 -4.892 0.982
1.305 -1.096 7.439
Tl Cd Ca
2 1 2
Cartesian
-1.624 -3.432 8.023
-1.489 -1.914 2.915
0.000 0.000 0.000
-2.584 -1.290 5.853
-0.530 -4.056 5.085
```

## Properties
**Volume**: 33.7 Å³/atom
**Crystal system**: tetragonal
**Calculated formation energy**: 0.054 eV per atom
**Energy relative to the lowest polymorph listed for this composition**: 380 meV per atom

=====

First-principles (PBE-GGA) data for InTcIr2 after structural relaxation, as listed in Alexandria via LeMat-Bulk.

```
InTcIr2
1.0
-3.315 -0.311 -3.590
1.313 -3.456 -3.210
-0.420 -0.029 4.878
Ir Tc In
2 1 1
Cartesian
0.000 0.000 0.000
-0.054 -2.684 -0.866
-1.001 -1.884 -3.400
-2.368 -1.112 -1.056
```

## Properties
**Volume**: 15.8 Å³/atom
**Crystal system**: tetragonal
**Calculated formation energy**: 0.132 eV per atom

=====

First-principles (PBE-GGA) data for NbN3Cl after structural relaxation, as listed in Alexandria via LeMat-Bulk.

```
NbN3Cl
1.0
3.673 0.000 0.000
0.000 3.673 0.000
0.000 0.000 3.673
Nb Cl N
1 1 3
Cartesian
1.837 1.837 1.837
0.000 0.000 0.000
0.000 1.837 0.000
0.000 0.000 1.837
1.837 0.000 0.000
```

## Properties
**Volume**: 9.9 Å³/atom
**Crystal system**: cubic
**Formation energy (no corrections)**: 2.021 eV per atom

=====

First-principles (PBE-GGA) data for AcDyTm2S6 after structural relaxation, as listed in Alexandria via LeMat-Bulk.

```
AcDyTm2S6
1.0
7.027 0.000 0.000
3.514 6.086 0.000
3.513 2.029 6.139
S Tm Ac Dy
6 2 1 1
Cartesian
8.305 2.487 4.562
7.748 5.949 4.562
5.665 6.005 1.476
5.029 3.736 4.562
6.022 1.904 1.476
9.395 4.264 1.476
7.027 4.057 2.725
3.513 2.029 5.926
10.541 6.086 3.688
3.514 2.029 0.334
```

## Properties
**Volume**: 26.3 Å³/atom
**Crystal system**: trigonal
**Formation energy (no corrections)**: -2.078 eV per atom

=====

First-principles (PBE-GGA) data for Li2AlPb after structural relaxation, as listed in Alexandria via LeMat-Bulk.

```
Li2AlPb
1.0
-7.110 6.074 -1.492
-8.230 3.505 -3.106
-8.699 3.740 0.085
Al Pb Li
1 1 2
Cartesian
-18.029 9.989 -3.385
-6.010 3.330 -1.128
-11.901 6.594 -2.234
-0.119 0.066 -0.022
```

## Properties
**Volume**: 21.0 Å³/atom
**Crystal system**: trigonal
**Calculated formation energy**: -0.054 eV per atom

=====

First-principles (PBE-GGA) data for La2CeMgO6 after structural relaxation, as listed in Alexandria via LeMat-Bulk.

```
La2CeMgO6
1.0
5.795 0.000 -0.077
0.000 5.961 0.000
-0.060 0.000 8.458
La O Ce Mg
4 12 2 2
Cartesian
0.094 5.664 2.101
2.773 2.684 2.090
2.962 3.277 6.291
5.641 0.297 6.280
5.070 3.280 2.006
4.618 4.745 7.853
1.681 4.156 0.542
3.592 0.299 2.107
1.117 1.216 0.528
2.143 5.662 6.274
4.054 1.805 7.839
1.751 4.196 3.663
3.984 1.765 4.718
0.664 2.681 6.375
4.549 4.786 4.733
1.186 1.175 3.648
-0.030 2.981 4.229
2.898 0.000 -0.039
0.000 2.981 0.000
2.867 0.000 4.191
```

## Properties
**Volume**: 14.6 Å³/atom
**Crystal system**: monoclinic
**Formation energy (no corrections)**: -3.225 eV per atom

=====

First-principles (PBE-GGA) data for TaNb2Pd2 after structural relaxation, as listed in Alexandria via LeMat-Bulk.

```
TaNb2Pd2
1.0
-1.224 -1.652 -3.001
3.404 -0.231 -1.261
1.815 -7.082 0.953
Nb Ta Pd
2 1 2
Cartesian
1.236 -2.173 -1.513
2.760 -6.792 -1.797
0.000 0.000 0.000
0.841 -4.838 -2.090
3.155 -4.127 -1.220
```

## Properties
**Volume**: 18.3 Å³/atom
**Crystal system**: tetragonal
**Calculated formation energy**: 0.208 eV per atom
**Energy relative to the lowest polymorph listed for this composition**: 250 meV per atom

=====

First-principles (PBE-GGA) data for LiLuSbPt after structural relaxation, as listed in Alexandria via LeMat-Bulk.

```
LiLuSbPt
1.0
-4.007 2.480 -0.759
-3.917 -2.221 -1.582
-3.750 -0.579 2.896
Li Lu Sb Pt
1 1 1 1
Cartesian
-8.756 -0.240 0.416
0.000 0.000 0.000
-5.837 -0.160 0.277
-2.919 -0.080 0.139
```

## Properties
**Volume**: 19.2 Å³/atom
**Crystal system**: cubic
**Formation energy (no corrections)**: -0.729 eV per atom

=====

no.,ρ (g cm⁻³)
1,7.89
2,11.77
3,7.77
4,10.48
5,13.45
6,8.18
7,5.77
8,5.30
9,5.92
10,15.71
11,5.71
12,5.82
13,4.90
14,6.12
15,10.53
16,10.77